CdC2I2 | Alexandria | GGA-PBE | relaxed; E above lowest polymorph = 0.000 eV/atom; SG = I4/mmm (139); E = -0.22579 Ry/atom; N(E_F) = 1.047 states/eV/atom; ΔE_f (raw) = 1420.6 meV/atom; size of the total moment = 0.00 μB per atom
1.0
5.416 0.000 0.000
0.000 5.416 0.000
0.000 0.000 7.490
Cd C I
2 4 4
direct
0.000 0.000 0.000 Cd
0.500 0.500 0.500 Cd
0.000 0.000 0.413 C
0.000 0.000 0.587 C
0.500 0.500 0.087 C
0.500 0.500 0.913 C
0.000 0.500 0.250 I
0.000 0.500 0.750 I
0.500 0.000 0.250 I
0.500 0.000 0.750 I